# Co3OF5

A relaxed structure of Co3OF5 (PBE+U, Alexandria).

Cell: 4.7168 5.6690 7.8934 Å, 86.63 88.82 88.22°
Closest atoms and distances in Å follow each position.
Element x y z (fractional)
Co  0.0000  0.0000  0.0000  2 O 1.94, 4 F 2.06-2.10
Co  0.9998  0.3321  0.6640  6 F 2.02-2.08
Co  0.0002  0.6679  0.3360  6 F 2.02-2.08
Co  0.4691  0.8411  0.6855  1 O 1.92, 4 F 2.02-2.07
Co  0.5000  0.5000  0.0000  2 O 2.02, 4 F 2.04-2.08
Co  0.5309  0.1589  0.3145  1 O 1.92, 4 F 2.02-2.07
O  0.2951  0.7962  0.9070  3 Co 1.92-2.02
O  0.7049  0.2038  0.0930  3 Co 1.92-2.02
F  0.1936  0.6358  0.5681  3 Co 2.04-2.07
F  0.1972  0.9693  0.2362  3 Co 2.06-2.10
F  0.2010  0.2926  0.8949  3 Co 2.06-2.08
F  0.3034  0.4600  0.2326  3 Co 2.02-2.07
F  0.3159  0.1375  0.5590  3 Co 2.02-2.16
F  0.6841  0.8625  0.4410  3 Co 2.02-2.16
F  0.6966  0.5400  0.7674  3 Co 2.02-2.07
F  0.7990  0.7074  0.1051  3 Co 2.06-2.08
F  0.8028  0.0307  0.7638  3 Co 2.06-2.10
F  0.8064  0.3642  0.4319  3 Co 2.04-2.07

Properties
Uncorrected energy ... -0.3775 Ry per atom
SG ... No. 2